AcHoZn: relaxed, PBE.

```
3
Lattice="-2.516 -2.598 -1.640 1.549 -3.625 3.367 -3.979 3.106 1.183" Properties=species:S:1:pos:R:3 pbc="T T T"
Ho -1.551 -2.680 1.819
Ac -2.515 -2.598 -1.640
Zn -3.396 -0.438 1.090
```

Results
DFT formation energy	-31	meV per atom
Fermi-level density of states	1.24	states/eV/atom
symmetry	P-6m2, No. 187
polymorph energy (0 for the lowest one)	124	meV per atom